Entry from Alexandria: an optimized crystal structure of Tc2TeW (PBEsol).

The structure in POSCAR format:
```
Tc2TeW
1.0
3.186 0.000 0.000
0.000 4.800 0.000
0.000 0.000 8.815
Tc Te W
4 2 2
direct
0.000 0.000 0.226 Tc
0.000 0.000 0.774 Tc
0.500 0.500 0.226 Tc
0.500 0.500 0.774 Tc
0.000 0.500 0.500 Te
0.500 0.000 0.500 Te
0.000 0.500 0.000 W
0.500 0.000 0.000 W
```

Volume ... 135 Å³/cell
Symmetry ... Cmmm, No. 65
Total magnetization ... 0.0 μB/cell
Formation energy from raw total energies ... 0.59 eV/atom

---

Entry from Alexandria: an optimized crystal structure of TcTeW2 (PBEsol).

The structure in POSCAR format:
```
TcTeW2
1.0
3.195 0.000 0.000
0.000 4.723 0.000
0.000 0.000 9.143
Tc Te W
2 2 4
direct
0.000 0.000 0.000 Tc
0.500 0.500 0.000 Tc
0.000 0.500 0.729 Te
0.500 0.000 0.729 Te
0.000 0.000 0.452 W
0.000 0.500 0.221 W
0.500 0.000 0.221 W
0.500 0.500 0.452 W
```

Volume ... 138 Å³/cell
Symmetry ... Cmm2, No. 35
Total magnetization ... 0.0 μB/cell
Formation energy from raw total energies ... 0.65 eV/atom
Offset from the most stable computed form ... 0.57 eV per formula unit

---

Entry from Alexandria: an optimized crystal structure of Y2TcTe2 (PBEsol).

The structure in POSCAR format:
```
Y2TcTe2
1.0
4.030 0.000 0.000
0.000 4.030 0.000
0.000 0.000 16.303
Y Tc Te
4 2 4
direct
0.000 0.000 0.095 Y
0.000 0.000 0.905 Y
0.500 0.500 0.405 Y
0.500 0.500 0.595 Y
0.000 0.000 0.500 Tc
0.500 0.500 0.000 Tc
0.000 0.500 0.250 Te
0.000 0.500 0.750 Te
0.500 0.000 0.250 Te
0.500 0.000 0.750 Te
```

Volume ... 265 Å³/cell
Symmetry ... I4/mmm, No. 139
Total magnetization ... 0.3 μB/cell
Formation energy from raw total energies ... 0.18 eV/atom

---

Entry from Alexandria: an optimized crystal structure of YTc2Te (PBEsol).

The structure in POSCAR format:
```
YTc2Te
1.0
3.319 0.000 0.000
0.000 3.319 0.000
0.000 0.000 6.598
Y Tc Te
1 2 1
direct
0.000 0.000 0.000 Y
0.500 0.500 0.277 Tc
0.500 0.500 0.723 Tc
0.000 0.000 0.500 Te
```

Volume ... 73 Å³/cell
Symmetry ... P4/mmm, No. 123
Total magnetization ... 0.0 μB/cell
Formation energy from raw total energies ... 0.15 eV/atom

---

Entry from Alexandria: an optimized crystal structure of YTcTe (PBEsol).

The structure in POSCAR format:
```
YTcTe
1.0
3.319 0.000 0.000
0.000 3.319 0.000
0.000 0.000 11.446
Y Tc Te
2 2 2
direct
0.000 0.000 0.000 Y
0.500 0.500 0.500 Y
0.000 0.000 0.330 Tc
0.500 0.500 0.830 Tc
0.000 0.000 0.712 Te
0.500 0.500 0.212 Te
```

Volume ... 126 Å³/cell
Symmetry ... I4mm, No. 107
Total magnetization ... 0.0 μB/cell
Formation energy from raw total energies ... -0.26 eV/atom

---

Entry from Alexandria: an optimized crystal structure of YTc2Te (PBEsol).

The structure in POSCAR format:
```
YTc2Te
1.0
3.146 0.000 0.000
0.000 4.181 0.000
0.000 0.000 5.613
Y Tc Te
1 2 1
direct
0.000 0.000 0.000 Y
0.000 0.000 0.466 Tc
0.500 0.500 0.270 Tc
0.500 0.500 0.722 Te
```

Volume ... 74 Å³/cell
Symmetry ... Pmm2, No. 25
Total magnetization ... 0.0 μB/cell
Formation energy from raw total energies ... 0.14 eV/atom

---

Entry from Alexandria: an optimized crystal structure of ZnTcTe2 (PBEsol).

The structure in POSCAR format:
```
ZnTcTe2
1.0
4.790 0.000 0.000
0.000 4.790 0.000
0.000 0.000 3.331
Zn Tc Te
1 1 2
direct
0.000 0.000 0.000 Zn
0.500 0.500 0.000 Tc
0.000 0.500 0.500 Te
0.500 0.000 0.500 Te
```

Volume ... 76 Å³/cell
Symmetry ... P4/mmm, No. 123
Total magnetization ... 0.0 μB/cell
Formation energy from raw total energies ... 0.50 eV/atom

---

Entry from Alexandria: an optimized crystal structure of ZrTc4Te (PBEsol).

The structure in POSCAR format:
```
ZrTc4Te
1.0
0.000 3.676 3.676
3.676 0.000 3.676
3.676 3.676 0.000
Zr Tc Te
1 4 1
direct
0.000 0.000 0.000 Zr
0.127 0.624 0.624 Tc
0.624 0.127 0.624 Tc
0.624 0.624 0.127 Tc
0.624 0.624 0.624 Tc
0.250 0.250 0.250 Te
```

Volume ... 99 Å³/cell
Symmetry ... F-43m, No. 216
Total magnetization ... 0.0 μB/cell
Formation energy from raw total energies ... 0.13 eV/atom